# MgCu2Si2 PBE optimized geometry
# Final energy (eV/cell): -40.4
data_MgCu2Si2
_cell_length_a 3.871
_cell_length_b 3.871
_cell_length_c 10.082
_cell_angle_alpha 90.00
_cell_angle_beta 90.00
_cell_angle_gamma 90.00
_symmetry_space_group_name_H-M 'I 4/m m m'
_symmetry_Int_Tables_number 139
_symmetry_space_group_name_Hall '-I 4 2'
loop_
_atom_site_label
_atom_site_type_symbol
_atom_site_fract_x
_atom_site_fract_y
_atom_site_fract_z
_atom_site_occupancy
Mg1 Mg 0.000 0.000 0.000 1
Cu1 Cu 0.000 0.500 0.250 1
Si1 Si 0.000 0.000 0.387 1